1.
## SrMgP2 (PBE-GGA)

Data for a relaxed SrMgP2 crystal.

Lattice parameters (Å, degrees): 4.9482 4.9482 4.9482 60.00 60.00 60.00
Fractional positions:
1 Sr 0.0000 0.0000 0.0000
2 Mg 0.7500 0.7500 0.7500
3 P 0.2500 0.2500 0.2500
4 P 0.5000 0.5000 0.5000

Results
Total moment in μB per formula unit: 0.00
Energy of formation in meV/atom: 95



2.
## Sr2MgP (PBE-GGA)

Data for a relaxed Sr2MgP crystal.

Lattice parameters (Å, degrees): 5.9247 5.9247 5.9247 132.75 122.80 77.26
Fractional positions:
1 Sr 0.2164 0.2164 0.0000
2 Sr 0.7836 0.7836 0.0000
3 Mg 0.5000 0.0000 0.5000
4 P 0.0000 0.5000 0.5000

Results
Energy above the lowest structure with this stoichiometry in meV per atom: 258.6
Total moment in μB per formula unit: 0.00
Energy of formation in meV/atom: -309



3.
## Sr2MgP (PBE-GGA)

Data for a relaxed Sr2MgP crystal.

Lattice parameters (Å, degrees): 6.5344 6.5344 6.5344 138.77 138.77 59.73
Fractional positions:
1 Sr 0.0000 0.0000 0.0000
2 Sr 0.7500 0.2500 0.5000
3 Mg 0.2500 0.7500 0.5000
4 P 0.5000 0.5000 0.0000

Results
Energy above the lowest structure with this stoichiometry in meV per atom: 333.1
Total moment in μB per formula unit: 0.62
Energy of formation in meV/atom: -234



4.
## Sr2MgP (PBE-GGA)

Data for a relaxed Sr2MgP crystal.

Lattice parameters (Å, degrees): 4.4609 4.4609 6.5362 90.00 90.00 90.00
Fractional positions:
1 Sr 0.0000 0.0000 0.0000
2 Sr 0.5000 0.5000 0.3808
3 Mg 0.0000 0.0000 0.5344
4 P 0.5000 0.5000 0.8809

Results
Energy above the lowest structure with this stoichiometry in meV per atom: 364.0
Total moment in μB per formula unit: 0.00
Energy of formation in meV/atom: -203



What did the second record say?
## Sr2MgP (PBE-GGA)

Data for a relaxed Sr2MgP crystal.

Lattice parameters (Å, degrees): 5.9247 5.9247 5.9247 132.75 122.80 77.26
Fractional positions:
1 Sr 0.2164 0.2164 0.0000
2 Sr 0.7836 0.7836 0.0000
3 Mg 0.5000 0.0000 0.5000
4 P 0.0000 0.5000 0.5000

Results
Energy above the lowest structure with this stoichiometry in meV per atom: 258.6
Total moment in μB per formula unit: 0.00
Energy of formation in meV/atom: -309